This record from the Alexandria database describes an optimized crystal structure of Nb2NiHPt. The functional is PBE. Values from VASP.

Summary:
DOS(E_F)	3.67	states/eV/f.u.
energy above the lowest structure with this stoichiometry	0.0	meV per atom
space-group type	No. 123

```
&SYSTEM
  ibrav = 0, nat = 5, ntyp = 4
/
ATOMIC_SPECIES
Pt 195.08 Pt.upf
H 1.01 H.upf
Ni 58.69 Ni.upf
Nb 92.91 Nb.upf
CELL_PARAMETERS angstrom
-3.9241 -0.7018 -0.6223
0.6805 -3.9723 0.1889
-0.6350 0.0775 3.9170
ATOMIC_POSITIONS crystal
Pt 0.5000 0.5000 0.5000
H 0.0000 0.0000 0.0000
Ni 0.0000 0.0000 0.5000
Nb 0.5000 0.0000 0.0000
Nb 0.0000 0.5000 0.0000
```


This record from the Alexandria database describes an optimized crystal structure of Cd2GeO. The functional is PBE. Values from VASP.

Summary:
uncorrected formation energy	1.11	eV per formula unit
DOS(E_F)	3.74	states/eV/f.u.
energy above the lowest structure with this stoichiometry	515.8	meV per atom
space-group type	No. 225

```
&SYSTEM
  ibrav = 0, nat = 4, ntyp = 3
/
ATOMIC_SPECIES
O 16.00 O.upf
Cd 112.41 Cd.upf
Ge 72.64 Ge.upf
CELL_PARAMETERS angstrom
0.0000 3.2997 3.2997
3.2997 0.0000 3.2997
3.2997 3.2997 0.0000
ATOMIC_POSITIONS crystal
O 0.0000 0.0000 0.0000
Cd 0.7500 0.7500 0.7500
Cd 0.2500 0.2500 0.2500
Ge 0.5000 0.5000 0.5000
```


This record from the Alexandria database describes an optimized crystal structure of In2ReHg. The functional is PBE. Values from VASP.

Summary:
formation enthalpy at 0 K	0.586	eV per atom
DOS(E_F)	3.72	states/eV/f.u.
space-group type	No. 160

```
&SYSTEM
  ibrav = 0, nat = 4, ntyp = 3
/
ATOMIC_SPECIES
In 114.82 In.upf
Hg 200.59 Hg.upf
Re 186.21 Re.upf
CELL_PARAMETERS angstrom
-4.9783 -0.3623 -9.2204
-4.9011 -3.3650 -8.6364
-7.1530 -1.6404 -7.4883
ATOMIC_POSITIONS crystal
In 0.0001 0.0001 0.0001
In 0.2409 0.2409 0.2409
Hg 0.7583 0.7583 0.7583
Re 0.5007 0.5007 0.5007
```


This record from the Alexandria database describes an optimized crystal structure of La15Tb4Er. The functional is PBE. Values from VASP.

Summary:
formation enthalpy at 0 K	0.009	eV per atom
DOS(E_F)	28.09	states/eV/f.u.
space-group type	No. 123

```
&SYSTEM
  ibrav = 0, nat = 20, ntyp = 3
/
ATOMIC_SPECIES
Tb 158.93 Tb.upf
La 138.91 La.upf
Er 167.26 Er.upf
CELL_PARAMETERS angstrom
-4.4976 -2.2546 -1.3561
2.4301 -2.5305 -3.8525
5.0437 -19.7959 16.1844
ATOMIC_POSITIONS crystal
Tb 0.0000 0.0000 0.4000
La 0.5000 0.5000 0.8000
Er 0.0000 0.0000 0.0000
La 0.5000 0.5000 0.0000
Tb 0.0000 0.0000 0.8002
La 0.5000 0.0000 0.5000
La 0.5000 0.0000 0.2999
La 0.5000 0.0000 0.7001
La 0.5000 0.5000 0.4000
La 0.5000 0.5000 0.6000
La 0.0000 0.5000 0.7001
La 0.5000 0.0000 0.0998
La 0.0000 0.5000 0.5000
La 0.0000 0.5000 0.2999
La 0.0000 0.5000 0.9002
La 0.0000 0.5000 0.0998
La 0.5000 0.0000 0.9002
Tb 0.0000 0.0000 0.6000
Tb 0.0000 0.0000 0.1998
La 0.5000 0.5000 0.2000
```


This record from the Alexandria database describes an optimized crystal structure of Ac2Sm7Dy. The functional is PBE. Values from VASP.

Summary:
formation enthalpy at 0 K	0.194	eV per atom
DOS(E_F)	19.85	states/eV/f.u.
space-group type	No. 65

```
&SYSTEM
  ibrav = 0, nat = 10, ntyp = 3
/
ATOMIC_SPECIES
Sm 150.36 Sm.upf
Ac 227.00 Ac.upf
Dy 162.50 Dy.upf
CELL_PARAMETERS angstrom
3.5691 0.0000 0.0000
0.0000 12.1539 -9.5945
0.0000 -6.9463 13.8390
ATOMIC_POSITIONS crystal
Sm 0.5000 0.5000 0.5000
Ac 0.5000 0.2063 0.7937
Sm 0.0000 0.6843 0.3157
Dy 0.0000 0.0000 0.0000
Sm 0.5000 0.6599 0.8523
Sm 0.5000 0.3401 0.1477
Sm 0.5000 0.8523 0.6599
Sm 0.0000 0.3157 0.6843
Ac 0.5000 0.7937 0.2063
Sm 0.5000 0.1477 0.3401
```


This record from the Alexandria database describes an optimized crystal structure of MnCoPt. The functional is PBE. Values from VASP.

Summary:
formation enthalpy at 0 K	0.222	eV per atom
DOS(E_F)	1.75	states/eV/f.u.
energy above the lowest structure with this stoichiometry	282.5	meV per atom
space-group type	No. 216

```
&SYSTEM
  ibrav = 0, nat = 3, ntyp = 3
/
ATOMIC_SPECIES
Pt 195.08 Pt.upf
Co 58.93 Co.upf
Mn 54.94 Mn.upf
CELL_PARAMETERS angstrom
-2.4371 -0.8450 -3.1251
-3.2577 -2.3466 0.5479
-3.7123 1.6156 -0.1689
ATOMIC_POSITIONS crystal
Pt 0.5000 0.5000 0.5000
Co 0.7500 0.7500 0.7500
Mn 0.0000 0.0000 0.0000
```